Entry 1:
## LiPdAu4 (PBE)

Data for LiPdAu4 after structural relaxation.

Properties
For the total magnetization, the calculation gives 0.000 μB/cell. For the theoretical density, the calculation gives 13.05 g/cm³. The electronic total energy comes out at -0.254 Ry per atom. The calculation puts the energy of formation from the pure elements at -9 kJ/mol of atoms.

Cell lengths 5.4536, 5.4536, 5.4536 Å; angles 60.00, 60.00, 60.00 degrees
With the nearest neighbours (Å) after each atom.
Element x y z (fractional)
Li 0.0000 0.0000 0.0000  12 Au 3.20, 4 Pd 3.34
Pd 0.7500 0.7500 0.7500  12 Au 3.20, 4 Li 3.34
Au 0.3750 0.3750 0.3750  6 Au 2.73
Au 0.3750 0.3750 0.8751  6 Au 2.73
Au 0.3750 0.8751 0.3750  6 Au 2.73
Au 0.8751 0.3750 0.3750  6 Au 2.73

---

Entry 2:
## LiPd5Au6 (PBE)

Data for LiPd5Au6 after structural relaxation.

Properties
For the total magnetization, the calculation gives 0.000 μB/cell. For the theoretical density, the calculation gives 14.36 g/cm³. The electronic total energy comes out at -0.304 Ry per atom. The calculation puts the energy of formation from the pure elements at -16 kJ/mol of atoms.

Cell lengths 4.5446, 6.4158, 7.1707 Å; angles 89.98, 72.14, 89.93 degrees
With the nearest neighbours (Å) after each atom.
Element x y z (fractional)
Li 0.0000 0.0000 0.0000  8 Au 2.74-2.75
Pd 0.0000 0.5000 0.0000  8 Au 2.76-2.83
Pd 0.3297 0.0000 0.3392  8 Au 2.77-2.78
Pd 0.3351 0.4999 0.3293  8 Au 2.79-2.85
Pd 0.6649 0.5001 0.6707  8 Au 2.79-2.85
Pd 0.6703 0.0000 0.6608  8 Au 2.77-2.78
Au 0.1645 0.2482 0.6723  1 Li 2.75, 7 Pd 2.76-2.84
Au 0.1645 0.7519 0.6723  1 Li 2.75, 7 Pd 2.76-2.85
Au 0.4998 0.2385 0.0000  2 Li 2.74, 6 Pd 2.78-2.83, 1 Au 3.06
Au 0.5002 0.7615 0.0000  2 Li 2.74, 6 Pd 2.78-2.83, 1 Au 3.06
Au 0.8355 0.2481 0.3277  1 Li 2.75, 7 Pd 2.76-2.85
Au 0.8355 0.7518 0.3277  1 Li 2.75, 7 Pd 2.76-2.84

---

Entry 3:
## LiPdAu (PBE)

Data for LiPdAu after structural relaxation.

Properties
For the total magnetization, the calculation gives 0.000 μB/cell. For the theoretical density, the calculation gives 11.35 g/cm³. The electronic total energy comes out at -0.280 Ry per atom. The calculation puts the energy of formation from the pure elements at -34 kJ/mol of atoms.

Cell lengths 5.1200, 5.1200, 5.1200 Å; angles 144.33, 144.33, 51.34 degrees
With the nearest neighbours (Å) after each atom.
Element x y z (fractional)
Li 0.0000 0.0000 0.0000  4 Pd 2.62, 4 Au 2.66
Pd 0.6510 0.6510 0.0000  4 Li 2.62, 5 Au 2.83-2.86
Au 0.3412 0.3412 0.0000  4 Li 2.66, 5 Pd 2.83-2.86

---

Entry 4:
## Li5Pd4Au (PBE)

Data for Li5Pd4Au after structural relaxation.

Properties
For the total magnetization, the calculation gives 0.000 μB/cell. For the theoretical density, the calculation gives 7.98 g/cm³. The electronic total energy comes out at -0.280 Ry per atom. The calculation puts the energy of formation from the pure elements at -43 kJ/mol of atoms.

Cell lengths 3.0319, 3.0319, 14.8803 Å; angles 90.00, 90.00, 90.00 degrees
With the nearest neighbours (Å) after each atom.
Element x y z (fractional)
Li 0.0000 0.0000 0.0000  8 Pd 2.60
Li 0.0000 0.0000 0.1970  8 Pd 2.59-2.60
Li 0.0000 0.0000 0.3937  4 Pd 2.59, 4 Au 2.66
Li 0.0000 0.0000 0.6063  4 Pd 2.59, 4 Au 2.66
Li 0.0000 0.0000 0.8030  8 Pd 2.59-2.60
Pd 0.5000 0.5000 0.0992  8 Li 2.59-2.60
Pd 0.5000 0.5000 0.2963  8 Li 2.59-2.60
Pd 0.5000 0.5000 0.7037  8 Li 2.59-2.60
Pd 0.5000 0.5000 0.9008  8 Li 2.59-2.60
Au 0.5000 0.5000 0.5000  8 Li 2.66

---

Entry 5:
## Li2PdAu5 (PBE)

Data for Li2PdAu5 after structural relaxation.

Properties
For the total magnetization, the calculation gives 0.000 μB/cell. For the theoretical density, the calculation gives 13.98 g/cm³. The electronic total energy comes out at -0.261 Ry per atom. The calculation puts the energy of formation from the pure elements at -36 kJ/mol of atoms.

Cell lengths 5.6985, 5.6985, 5.6985 Å; angles 119.81, 119.81, 90.33 degrees
With the nearest neighbours (Å) after each atom.
Element x y z (fractional)
Li 0.0000 0.5000 0.5000  10 Au 2.85-2.86, 2 Pd 2.86
Li 0.5000 0.0000 0.5000  10 Au 2.85-2.86, 2 Pd 2.86
Pd 0.0000 0.0000 0.0000  8 Au 2.85, 4 Li 2.86
Au 0.0000 0.0000 0.5000  6 Au 2.85-2.86, 4 Li 2.85, 2 Pd 2.85
Au 0.0000 0.5000 0.0000  6 Au 2.85-2.86, 4 Li 2.85, 2 Pd 2.85
Au 0.5000 0.0000 0.0000  6 Au 2.85-2.86, 4 Li 2.85, 2 Pd 2.85
Au 0.5000 0.5000 0.0000  8 Au 2.85, 4 Li 2.86
Au 0.5000 0.5000 0.5000  6 Au 2.85-2.86, 4 Li 2.85, 2 Pd 2.85

---

Entry 6:
## LiPd2Au6 (PBE)

Data for LiPd2Au6 after structural relaxation.

Properties
For the total magnetization, the calculation gives 0.000 μB/cell. For the theoretical density, the calculation gives 15.31 g/cm³. The electronic total energy comes out at -0.276 Ry per atom. The calculation puts the energy of formation from the pure elements at -20 kJ/mol of atoms.

Cell lengths 5.0002, 5.0002, 8.6899 Å; angles 107.43, 107.43, 47.79 degrees
With the nearest neighbours (Å) after each atom.
Element x y z (fractional)
Li 0.0000 0.0000 0.0000  10 Au 2.84-2.89, 2 Pd 2.86
Pd 0.0010 0.0010 0.6707  10 Au 2.85-2.91, 1 Li 2.86, 1 Pd 2.96
Pd 0.9990 0.9990 0.3293  10 Au 2.85-2.91, 1 Li 2.86, 1 Pd 2.96
Au 0.3350 0.3350 0.1100  7 Au 2.84-2.92, 2 Pd 2.85, 3 Li 2.87-2.89
Au 0.3354 0.3354 0.4456  7 Au 2.84-2.92, 5 Pd 2.88-2.91
Au 0.3367 0.3367 0.7822  7 Au 2.84-2.92, 2 Li 2.84, 3 Pd 2.87-2.90
Au 0.6633 0.6633 0.2178  7 Au 2.84-2.92, 2 Li 2.84, 3 Pd 2.87-2.90
Au 0.6646 0.6646 0.5544  7 Au 2.84-2.92, 5 Pd 2.88-2.91
Au 0.6650 0.6650 0.8900  7 Au 2.84-2.92, 2 Pd 2.85, 3 Li 2.87-2.89

---

Entry 7:
## Li3Pd2Au4 (PBE)

Data for Li3Pd2Au4 after structural relaxation.

Properties
For the total magnetization, the calculation gives 0.000 μB/cell. For the theoretical density, the calculation gives 11.80 g/cm³. The electronic total energy comes out at -0.268 Ry per atom. The calculation puts the energy of formation from the pure elements at -39 kJ/mol of atoms.

Cell lengths 4.0903, 4.8400, 8.3881 Å; angles 105.68, 90.01, 114.91 degrees
With the nearest neighbours (Å) after each atom.
Element x y z (fractional)
Li 0.0000 0.0000 0.0000  8 Au 2.80-2.82, 4 Pd 2.92
Li 0.3362 0.6722 0.4403  6 Au 2.72-2.85, 3 Li 2.75-2.90, 3 Pd 2.78-2.79
Li 0.6638 0.3278 0.5597  6 Au 2.72-2.85, 3 Li 2.75-2.90, 3 Pd 2.78-2.79
Pd 0.3253 0.6511 0.7687  5 Li 2.78-2.92, 7 Au 2.78-2.86
Pd 0.6747 0.3489 0.2313  5 Li 2.78-2.92, 7 Au 2.78-2.86
Au 0.0120 0.0233 0.3368  6 Li 2.72-2.85, 3 Pd 2.78-2.83, 3 Au 2.81-2.90
Au 0.3360 0.6723 0.1125  4 Li 2.75-2.82, 4 Pd 2.83-2.86, 4 Au 2.89-2.90
Au 0.6640 0.3277 0.8875  4 Li 2.75-2.82, 4 Pd 2.83-2.86, 4 Au 2.89-2.90
Au 0.9880 0.9767 0.6632  6 Li 2.72-2.85, 3 Pd 2.78-2.83, 3 Au 2.81-2.90

---

Entry 8:
## Li6Pd2Au (PBE)

Data for Li6Pd2Au after structural relaxation.

Properties
For the total magnetization, the calculation gives 0.000 μB/cell. For the theoretical density, the calculation gives 5.76 g/cm³. The electronic total energy comes out at -0.236 Ry per atom. The calculation puts the energy of formation from the pure elements at -40 kJ/mol of atoms.

Cell lengths 5.0806, 5.0806, 5.0747 Å; angles 93.67, 93.67, 93.84 degrees
With the nearest neighbours (Å) after each atom.
Element x y z (fractional)
Li 0.1684 0.5001 0.3320  5 Li 2.46-2.74
Li 0.1682 0.8318 0.0000  5 Li 2.46-2.74
Li 0.5001 0.1684 0.3320  5 Li 2.46-2.74
Li 0.4999 0.8316 0.6680  5 Li 2.46-2.74
Li 0.8318 0.1682 0.0000  5 Li 2.46-2.74
Li 0.8316 0.4999 0.6680  5 Li 2.46-2.74
Pd 0.3346 0.3346 0.8346  1 Pd 2.71, 1 Au 2.75, 12 Li 2.81-2.84
Pd 0.6654 0.6654 0.1654  1 Pd 2.71, 1 Au 2.75, 12 Li 2.81-2.84
Au 0.0000 0.0000 0.5000  2 Pd 2.75, 12 Li 2.83

---

Entry 9:
## LiPdAu (PBE)

Data for LiPdAu after structural relaxation.

Properties
For the total magnetization, the calculation gives 0.000 μB/cell. For the theoretical density, the calculation gives 10.98 g/cm³. The electronic total energy comes out at -0.286 Ry per atom. The calculation puts the energy of formation from the pure elements at -42 kJ/mol of atoms.

Cell lengths 4.8564, 4.8564, 5.3749 Å; angles 117.15, 117.15, 60.76 degrees
With the nearest neighbours (Å) after each atom.
Element x y z (fractional)
Li 0.1657 0.1657 0.0020  3 Li 2.77-2.84, 4 Pd 2.77-2.83, 5 Au 2.78-2.85
Li 0.8343 0.8343 0.9980  3 Li 2.77-2.84, 4 Pd 2.77-2.83, 5 Au 2.78-2.85
Pd 0.6575 0.0074 0.4975  4 Li 2.77-2.83, 5 Au 2.77-2.84, 3 Pd 2.79-2.83
Pd 0.9926 0.3425 0.5025  4 Li 2.77-2.83, 5 Au 2.77-2.84, 3 Pd 2.79-2.83
Au 0.3218 0.6782 0.5000  4 Li 2.78-2.80, 6 Pd 2.79-2.84, 2 Au 2.84
Au 0.5069 0.4931 0.0000  4 Pd 2.77-2.80, 6 Li 2.79-2.85, 2 Au 2.84

---

Entry 10:
## Li5Pd2Au (PBE)

Data for Li5Pd2Au after structural relaxation.

Properties
For the total magnetization, the calculation gives 0.000 μB/cell. For the theoretical density, the calculation gives 6.40 g/cm³. The electronic total energy comes out at -0.245 Ry per atom. The calculation puts the energy of formation from the pure elements at -41 kJ/mol of atoms.

Cell lengths 7.0874, 7.0874, 7.0874 Å; angles 145.20, 145.20, 50.03 degrees
With the nearest neighbours (Å) after each atom.
Element x y z (fractional)
Li 0.0000 0.0000 0.0000  8 Li 2.74, 4 Au 3.00
Li 0.1348 0.6348 0.5000  4 Pd 2.57-2.60, 2 Li 2.74, 2 Au 2.74
Li 0.3652 0.8652 0.5000  4 Pd 2.57-2.60, 2 Li 2.74, 2 Au 2.74
Li 0.6348 0.1348 0.5000  4 Pd 2.57-2.60, 2 Li 2.74, 2 Au 2.74
Li 0.8652 0.3652 0.5000  4 Pd 2.57-2.60, 2 Li 2.74, 2 Au 2.74
Pd 0.2524 0.2524 0.0000  8 Li 2.57-2.60
Pd 0.7476 0.7476 0.0000  8 Li 2.57-2.60
Au 0.5000 0.5000 0.0000  12 Li 2.74-3.00

---

Entry 11:
## Li4PdAu7 (PBE)

Data for Li4PdAu7 after structural relaxation.

Properties
For the total magnetization, the calculation gives 0.000 μB/cell. For the theoretical density, the calculation gives 11.27 g/cm³. The electronic total energy comes out at -0.237 Ry per atom. The calculation puts the energy of formation from the pure elements at -24 kJ/mol of atoms.

Cell lengths 5.9104, 5.9104, 9.4798 Å; angles 116.75, 116.75, 50.94 degrees
With the nearest neighbours (Å) after each atom.
Element x y z (fractional)
Li 0.0900 0.0900 0.2753  6 Au 2.60-2.87
Li 0.2531 0.2531 0.8318  5 Au 2.57-2.86
Li 0.7469 0.7469 0.1682  5 Au 2.57-2.86
Li 0.9100 0.9100 0.7247  6 Au 2.60-2.87
Pd 0.5000 0.5000 0.5000  6 Au 2.54-2.81
Au 0.0000 0.0000 0.5000  2 Pd 2.54, 2 Li 2.74, 2 Au 2.76
Au 0.1351 0.1351 0.0205  5 Li 2.63-2.86, 2 Au 2.71-2.72
Au 0.2872 0.2872 0.5817  4 Li 2.57-2.87, 1 Pd 2.74, 4 Au 2.75-2.87
Au 0.4289 0.4289 0.1718  4 Au 2.72-3.00, 3 Li 2.81-2.95, 1 Pd 2.81
Au 0.5711 0.5711 0.8282  4 Au 2.72-3.00, 3 Li 2.81-2.95, 1 Pd 2.81
Au 0.7128 0.7128 0.4183  4 Li 2.57-2.87, 1 Pd 2.74, 4 Au 2.75-2.87
Au 0.8649 0.8649 0.9795  5 Li 2.63-2.86, 2 Au 2.71-2.72

---

Entry 12:
## Li2Pd4Au3 (PBE)

Data for Li2Pd4Au3 after structural relaxation.

Properties
For the total magnetization, the calculation gives 0.000 μB/cell. For the theoretical density, the calculation gives 11.52 g/cm³. The electronic total energy comes out at -0.297 Ry per atom. The calculation puts the energy of formation from the pure elements at -21 kJ/mol of atoms.

Cell lengths 7.8861, 7.8861, 4.9308 Å; angles 99.42, 99.42, 83.06 degrees
With the nearest neighbours (Å) after each atom.
Element x y z (fractional)
Li 0.0241 0.6594 0.9517  4 Pd 2.66-2.96, 3 Au 2.66-2.91, 1 Li 2.72
Li 0.3406 0.9759 0.5483  4 Pd 2.66-2.96, 3 Au 2.66-2.91, 1 Li 2.72
Li 0.6594 0.0241 0.4517  4 Pd 2.66-2.96, 3 Au 2.66-2.91, 1 Li 2.72
Li 0.9759 0.3406 0.0483  4 Pd 2.66-2.96, 3 Au 2.66-2.91, 1 Li 2.72
Pd 0.1458 0.2756 0.6077  3 Li 2.66-2.96, 4 Pd 2.70-2.81, 3 Au 2.72-2.81
Pd 0.2756 0.1458 0.1077  3 Li 2.66-2.96, 4 Pd 2.70-2.81, 3 Au 2.72-2.81
Pd 0.3331 0.4684 0.0272  6 Pd 2.70-2.84, 1 Li 2.71, 4 Au 2.76-2.95
Pd 0.4684 0.3331 0.5272  6 Pd 2.70-2.84, 1 Li 2.71, 4 Au 2.76-2.95
Pd 0.5316 0.6669 0.4728  6 Pd 2.70-2.84, 1 Li 2.71, 4 Au 2.76-2.95
Pd 0.6669 0.5316 0.9728  6 Pd 2.70-2.84, 1 Li 2.71, 4 Au 2.76-2.95
Pd 0.7244 0.8542 0.8923  3 Li 2.66-2.96, 4 Pd 2.70-2.81, 3 Au 2.72-2.81
Pd 0.8542 0.7244 0.3923  3 Li 2.66-2.96, 4 Pd 2.70-2.81, 3 Au 2.72-2.81
Au 0.0544 0.9456 0.7500  2 Li 2.66, 4 Au 2.72-2.92, 2 Pd 2.72
Au 0.1947 0.6057 0.5047  2 Li 2.72-2.91, 6 Pd 2.73-2.95, 2 Au 2.92-2.99
Au 0.3943 0.8053 0.9953  2 Li 2.72-2.91, 6 Pd 2.73-2.95, 2 Au 2.92-2.99
Au 0.6057 0.1947 0.0047  2 Li 2.72-2.91, 6 Pd 2.73-2.95, 2 Au 2.92-2.99
Au 0.8053 0.3943 0.4953  2 Li 2.72-2.91, 6 Pd 2.73-2.95, 2 Au 2.92-2.99
Au 0.9456 0.0544 0.2500  2 Li 2.66, 4 Au 2.72-2.92, 2 Pd 2.72